# NbZn3Ga, relaxed, DFT PBE
data_NbZn3Ga
_chemical_formula_sum 'Nb1 Zn3 Ga1'
_cell_length_a 4.552
_cell_length_b 4.552
_cell_length_c 4.552
_cell_angle_alpha 90.00
_cell_angle_beta 90.00
_cell_angle_gamma 90.00
_space_group_name_H-M_alt 'P m -3 m'
_space_group_IT_number 221
_space_group_name_Hall '-P 4 2 3'
loop_
_atom_site_label
_atom_site_fract_x
_atom_site_fract_y
_atom_site_fract_z
Nb1 0.000 0.000 0.000
Zn1 0.000 0.500 0.500
Ga1 0.500 0.500 0.500
# **Relative energy among the computed polymorphs**: 0 meV/atom

# Nb4Zn5Ga, relaxed, DFT PBE
data_Nb4Zn5Ga
_chemical_formula_sum 'Nb8 Zn10 Ga2'
_cell_length_a 8.171
_cell_length_b 9.996
_cell_length_c 4.217
_cell_angle_alpha 90.00
_cell_angle_beta 90.00
_cell_angle_gamma 90.00
_space_group_name_H-M_alt 'P m m n'
_space_group_IT_number 59
loop_
_space_group_symop_operation_xyz
'x,y,z'
'-x,-y,-z'
'-x+1/2,-y+1/2,z'
'x+1/2,y+1/2,-z'
'x+1/2,-y,-z'
'-x+1/2,y,z'
'-x,y+1/2,-z'
'x,-y+1/2,z'
loop_
_atom_site_label
_atom_site_fract_x
_atom_site_fract_y
_atom_site_fract_z
Nb1 0.068 0.250 0.149
Nb2 0.250 0.014 0.856
Zn1 0.074 0.596 0.345
Zn2 0.250 0.250 0.634
Ga1 0.250 0.750 0.864
# **Electronic total energy**: -4.78 eV per atom

| no. | magnetization (μB per atom) | ρ (g/cm3) | DOS at the Fermi energy (states/eV/atom) |
| --- | --- | --- | --- |
| 1 | 0.0000 | 6.319 | 0.494 |
| 2 | 0.0000 | 7.408 | 0.548 |